DFT (PBE) results for a relaxed structure of Pm6Dy12Mg.

Calculated values
* E above lowest polymorph: 0.000 eV per atom
* V: 619 Å³ per cell

a b c (Å): 8.525 8.525 8.525
angles (deg): 88.84 88.84 88.84
Positions (direct):
Dy  0.538  0.436  0.778
Dy  0.639  0.985  0.812
Dy  0.778  0.538  0.436
Dy  0.985  0.812  0.639
Pm  0.262  0.094  0.699
Dy  0.462  0.564  0.222
Dy  0.812  0.639  0.985
Dy  0.015  0.188  0.361
Pm  0.738  0.906  0.301
Pm  0.094  0.699  0.262
Pm  0.301  0.738  0.906
Dy  0.564  0.222  0.462
Pm  0.906  0.301  0.738
Mg  0.000  0.000  0.000
Dy  0.436  0.778  0.538
Dy  0.222  0.462  0.564
Dy  0.361  0.015  0.188
Pm  0.699  0.262  0.094
Dy  0.188  0.361  0.015

=====

DFT (PBE) results for a relaxed structure of PmDy2Mg.

Calculated values
* E above lowest polymorph: 0.112 eV per atom
* V: 120 Å³ per cell

a b c (Å): 5.537 5.537 5.537
angles (deg): 60.00 60.00 60.00
Positions (direct):
Dy  0.750  0.750  0.750
Pm  0.000  0.000  0.000
Dy  0.250  0.250  0.250
Mg  0.500  0.500  0.500

=====

DFT (PBE) results for a relaxed structure of Pm2Dy7Mg2.

Calculated values
* E above lowest polymorph: 0.000 eV per atom
* V: 342 Å³ per cell

a b c (Å): 6.531 8.515 6.531
angles (deg): 77.62 83.46 102.38
Positions (direct):
Dy  0.525  0.677  0.117
Dy  0.000  0.500  0.000
Mg  0.384  0.665  0.616
Dy  0.855  0.084  0.145
Pm  0.683  0.000  0.683
Dy  0.145  0.916  0.855
Pm  0.317  0.000  0.317
Dy  0.475  0.323  0.883
Dy  0.117  0.323  0.525
Mg  0.616  0.335  0.384
Dy  0.883  0.677  0.475

=====

DFT (PBE) results for a relaxed structure of Pm8Dy3Mg.

Calculated values
* V: 432 Å³ per cell

a b c (Å): 8.400 8.400 8.400
angles (deg): 93.79 117.83 117.83
Positions (direct):
Pm  0.000  0.740  0.242
Dy  0.500  0.750  0.250
Pm  0.000  0.875  0.621
Pm  0.746  0.125  0.125
Pm  0.000  0.242  0.740
Dy  0.000  0.500  0.500
Dy  0.500  0.250  0.750
Pm  0.254  0.379  0.379
Pm  0.499  0.758  0.758
Pm  0.000  0.621  0.875
Mg  0.000  0.000  0.000
Pm  0.501  0.260  0.260

=====

DFT (PBE) results for a relaxed structure of Pm6DyMg.

Calculated values
* E above lowest polymorph: 0.105 eV per atom
* V: 260 Å³ per cell

a b c (Å): 6.719 6.719 9.456
angles (deg): 110.86 110.86 119.92
Positions (direct):
Pm  0.683  0.255  0.254
Pm  0.317  0.745  0.746
Pm  0.173  0.173  0.746
Mg  0.500  0.500  0.500
Dy  0.000  0.000  0.000
Pm  0.827  0.827  0.254
Pm  0.255  0.683  0.254
Pm  0.745  0.317  0.746

=====

DFT (PBE) results for a relaxed structure of PmDyMg14.

Calculated values
* V: 387 Å³ per cell

a b c (Å): 6.942 6.942 8.028
angles (deg): 90.00 90.00 89.99
Positions (direct):
Mg  0.127  0.623  0.762
Dy  0.375  0.375  0.500
Mg  0.375  0.875  0.500
Mg  0.875  0.875  0.000
Mg  0.623  0.623  0.762
Mg  0.127  0.623  0.238
Mg  0.375  0.875  0.000
Mg  0.127  0.127  0.762
Mg  0.127  0.127  0.238
Mg  0.623  0.623  0.238
Mg  0.375  0.375  0.000
Mg  0.875  0.375  0.000
Mg  0.623  0.127  0.238
Mg  0.875  0.375  0.500
Mg  0.623  0.127  0.762
Pm  0.875  0.875  0.500

=====

DFT (PBE) results for a relaxed structure of Pm3Dy6Mg.

Calculated values
* V: 653 Å³ per cell

a b c (Å): 10.415 10.415 10.415
angles (deg): 52.22 52.22 52.22
Positions (direct):
Dy  0.976  0.413  0.292
Pm  0.150  0.274  0.574
Pm  0.726  0.426  0.850
Dy  0.708  0.024  0.587
Dy  0.119  0.702  0.859
Dy  0.298  0.141  0.881
Pm  0.274  0.574  0.150
Dy  0.702  0.859  0.119
Dy  0.413  0.292  0.976
Dy  0.141  0.881  0.298
Mg  0.000  0.000  0.000
Pm  0.850  0.726  0.426
Pm  0.574  0.150  0.274
Dy  0.587  0.708  0.024
Dy  0.292  0.976  0.413
Dy  0.881  0.298  0.141
Dy  0.024  0.587  0.708
Mg  0.500  0.500  0.500
Pm  0.426  0.850  0.726
Dy  0.859  0.119  0.702

=====

DFT (PBE) results for a relaxed structure of Pm6Dy8Mg.

Calculated values
* V: 492 Å³ per cell

a b c (Å): 6.328 9.470 9.470
angles (deg): 120.00 90.00 90.00
Positions (direct):
Dy  0.813  0.228  0.962
Dy  0.187  0.772  0.038
Pm  0.316  0.090  0.450
Mg  0.500  0.000  0.000
Pm  0.684  0.639  0.090
Dy  0.813  0.735  0.772
Pm  0.684  0.910  0.550
Pm  0.316  0.550  0.639
Dy  0.187  0.265  0.228
Pm  0.684  0.450  0.361
Dy  0.167  0.667  0.333
Dy  0.833  0.333  0.667
Pm  0.316  0.361  0.910
Dy  0.813  0.038  0.265
Dy  0.187  0.962  0.735

=====

DFT (PBE) results for a relaxed structure of Pm6Dy2Mg.

Calculated values
* E above lowest polymorph: 0.000 eV per atom
* V: 587 Å³ per cell

a b c (Å): 5.113 10.717 10.716
angles (deg): 90.00 90.02 90.00
Positions (direct):
Pm  0.500  0.168  0.999
Pm  0.000  0.001  0.168
Pm  0.500  0.501  0.332
Pm  0.000  0.668  0.501
Pm  0.500  0.836  0.336
Pm  0.000  0.336  0.164
Pm  0.500  0.832  0.001
Dy  0.000  0.332  0.832
Pm  0.000  0.664  0.836
Pm  0.500  0.164  0.664
Pm  0.500  0.499  0.668
Dy  0.500  0.832  0.668
Dy  0.000  0.668  0.168
Mg  0.000  0.000  0.500
Dy  0.500  0.168  0.332
Pm  0.000  0.999  0.832
Mg  0.500  0.500  0.000
Pm  0.000  0.332  0.499

=====

DFT (PBE) results for a relaxed structure of Pm5Dy4Mg2.

Calculated values
* V: 350 Å³ per cell

a b c (Å): 3.540 8.808 13.932
angles (deg): 125.42 97.30 90.00
Positions (direct):
Pm  0.183  0.892  0.366
Mg  0.554  0.728  0.108
Mg  0.446  0.272  0.892
Dy  0.711  0.601  0.421
Pm  0.867  0.832  0.734
Dy  0.927  0.572  0.853
Dy  0.073  0.428  0.147
Pm  0.133  0.168  0.266
Pm  0.817  0.108  0.634
Pm  0.500  0.000  0.000
Dy  0.289  0.399  0.579

=====

DFT (PBE) results for a relaxed structure of PmDy7Mg4.

Calculated values
* V: 366 Å³ per cell

a b c (Å): 5.706 9.830 7.408
angles (deg): 80.62 67.35 73.13
Positions (direct):
Dy  0.220  0.120  0.440
Mg  0.687  0.665  0.962
Pm  0.000  0.000  0.000
Dy  0.943  0.382  0.731
Dy  0.780  0.880  0.560
Dy  0.057  0.618  0.269
Dy  0.500  0.000  0.000
Mg  0.565  0.217  0.653
Dy  0.325  0.614  0.736
Mg  0.435  0.783  0.347
Dy  0.675  0.386  0.264
Mg  0.313  0.335  0.038

=====

DFT (PBE) results for a relaxed structure of PmDy2Mg2.

Calculated values
* E above lowest polymorph: 0.000 eV per atom
* V: 288 Å³ per cell

a b c (Å): 3.756 5.488 14.095
angles (deg): 90.00 97.68 90.00
Positions (direct):
Mg  0.640  0.750  0.280
Dy  0.237  0.750  0.475
Pm  0.151  0.250  0.301
Mg  0.360  0.250  0.720
Pm  0.849  0.750  0.699
Mg  0.551  0.250  0.103
Mg  0.449  0.750  0.897
Dy  0.045  0.750  0.089
Dy  0.763  0.250  0.525
Dy  0.955  0.250  0.911

=====

DFT (PBE) results for a relaxed structure of Pm2Dy6Mg.

Calculated values
* E above lowest polymorph: 0.057 eV per atom
* V: 566 Å³ per cell

a b c (Å): 6.507 14.502 6.507
angles (deg): 74.19 91.14 74.19
Positions (direct):
Dy  0.948  0.358  0.080
Dy  0.788  0.539  0.631
Mg  0.742  0.750  0.258
Dy  0.631  0.039  0.788
Pm  0.560  0.808  0.731
Dy  0.052  0.642  0.920
Dy  0.591  0.575  0.109
Pm  0.269  0.692  0.440
Dy  0.080  0.858  0.948
Pm  0.440  0.192  0.269
Dy  0.212  0.461  0.369
Mg  0.258  0.250  0.742
Dy  0.920  0.142  0.052
Dy  0.409  0.425  0.891
Dy  0.369  0.961  0.212
Dy  0.891  0.925  0.409
Dy  0.109  0.075  0.591
Pm  0.731  0.308  0.560

=====

DFT (PBE) results for a relaxed structure of PmDy7Mg2.

Calculated values
* V: 378 Å³ per cell

a b c (Å): 5.332 9.204 9.204
angles (deg): 123.28 90.00 90.00
Positions (direct):
Dy  0.500  0.068  0.296
Dy  0.500  0.932  0.704
Mg  0.500  0.298  0.702
Pm  0.000  0.000  0.000
Dy  0.500  0.500  0.500
Dy  0.000  0.213  0.787
Dy  0.500  0.704  0.932
Mg  0.500  0.702  0.298
Dy  0.000  0.787  0.213
Dy  0.500  0.296  0.068

=====

DFT (PBE) results for a relaxed structure of Pm2DyMg2.

Calculated values
* E above lowest polymorph: 0.000 eV per atom
* V: 294 Å³ per cell

a b c (Å): 3.816 5.476 14.221
angles (deg): 90.00 97.74 90.00
Positions (direct):
Mg  0.640  0.750  0.280
Pm  0.764  0.250  0.526
Pm  0.236  0.750  0.474
Mg  0.446  0.750  0.891
Dy  0.850  0.750  0.700
Dy  0.150  0.250  0.300
Pm  0.045  0.750  0.089
Pm  0.955  0.250  0.911
Mg  0.360  0.250  0.720
Mg  0.554  0.250  0.109

=====

DFT (PBE) results for a relaxed structure of Pm2Dy3Mg.

Calculated values
* E above lowest polymorph: 0.252 eV per atom
* V: 196 Å³ per cell

a b c (Å): 3.315 11.777 7.915
angles (deg): 138.07 102.09 90.00
Positions (direct):
Pm  0.829  0.573  0.658
Pm  0.171  0.915  0.342
Dy  0.664  0.658  0.329
Dy  0.336  0.329  0.671
Dy  0.000  0.013  0.000
Mg  0.500  0.256  0.000

=====

DFT (PBE) results for a relaxed structure of Pm2Dy5Mg.

Calculated values
* V: 249 Å³ per cell

a b c (Å): 7.030 7.029 7.075
angles (deg): 119.79 119.79 90.00
Positions (direct):
Pm  0.222  0.722  0.444
Dy  0.222  0.722  0.944
Dy  0.722  0.722  0.444
Dy  0.722  0.722  0.944
Dy  0.222  0.222  0.944
Mg  0.222  0.222  0.444
Pm  0.722  0.222  0.444
Dy  0.722  0.222  0.944

=====

DFT (PBE) results for a relaxed structure of Pm12Dy3Mg.

Calculated values
* V: 530 Å³ per cell

a b c (Å): 5.090 5.090 20.462
angles (deg): 90.00 90.00 90.00
Positions (direct):
Pm  0.500  0.500  0.000
Mg  0.000  0.000  0.000
Dy  0.000  0.000  0.248
Pm  0.500  0.000  0.374
Pm  0.500  0.000  0.877
Pm  0.000  0.500  0.626
Pm  0.500  0.500  0.753
Pm  0.500  0.000  0.626
Pm  0.500  0.500  0.247
Pm  0.500  0.500  0.500
Pm  0.000  0.500  0.123
Pm  0.500  0.000  0.123
Dy  0.000  0.000  0.752
Dy  0.000  0.000  0.500
Pm  0.000  0.500  0.877
Pm  0.000  0.500  0.374

=====

DFT (PBE) results for a relaxed structure of Pm2DyMg4.

Calculated values
* E above lowest polymorph: 0.000 eV per atom
* V: 216 Å³ per cell

a b c (Å): 5.437 5.437 8.251
angles (deg): 109.23 109.23 90.00
Positions (direct):
Mg  0.886  0.386  0.772
Dy  0.000  0.000  0.000
Mg  0.386  0.886  0.772
Pm  0.747  0.747  0.495
Pm  0.253  0.253  0.505
Mg  0.614  0.114  0.228
Mg  0.114  0.614  0.228

=====

DFT (PBE) results for a relaxed structure of Pm2Dy3Mg3.

Calculated values
* V: 233 Å³ per cell

a b c (Å): 3.814 5.439 11.733
angles (deg): 103.40 99.35 90.00
Positions (direct):
Dy  0.622  0.622  0.245
Pm  0.266  0.766  0.532
Pm  0.734  0.234  0.468
Dy  0.378  0.378  0.755
Mg  0.000  0.500  0.000
Mg  0.115  0.115  0.229
Dy  0.500  0.000  0.000
Mg  0.885  0.885  0.771

=====

DFT (PBE) results for a relaxed structure of PmDy2Mg.

Calculated values
* E above lowest polymorph: 0.049 eV per atom
* V: 120 Å³ per cell

a b c (Å): 4.975 4.919 4.919
angles (deg): 90.00 90.00 90.00
Positions (direct):
Dy  0.000  0.000  0.500
Mg  0.500  0.000  0.000
Pm  0.500  0.500  0.500
Dy  0.000  0.500  0.000

=====

Number 1: energy relative to the elements 0.1271 eV per atom, total magnetization 0.0 μB per cell. Number 2: energy relative to the elements 0.0811 eV per atom, total magnetization 0.0 μB per cell. Number 3: energy relative to the elements 0.0712 eV per atom, total magnetization 0.0 μB per cell. Number 4: energy relative to the elements 0.5436 eV per atom, total magnetization 0.0 μB per cell. Number 5: energy relative to the elements 0.1187 eV per atom, total magnetization 0.0 μB per cell. Number 6: energy relative to the elements -0.0386 eV per atom, total magnetization 0.0 μB per cell. Number 7: energy relative to the elements 0.1873 eV per atom, total magnetization 0.0 μB per cell. Number 8: energy relative to the elements 0.1281 eV per atom, total magnetization 0.0 μB per cell. Number 9: energy relative to the elements 0.0209 eV per atom, total magnetization 0.0 μB per cell. Number 10: energy relative to the elements 0.0542 eV per atom, total magnetization 0.0 μB per cell. Number 11: energy relative to the elements 0.2241 eV per atom, total magnetization 0.0 μB per cell. Number 12: energy relative to the elements -0.0696 eV per atom, total magnetization 0.0 μB per cell. Number 13: energy relative to the elements 0.0797 eV per atom, total magnetization 0.0 μB per cell. Number 14: energy relative to the elements 0.5843 eV per atom, total magnetization 0.0 μB per cell. Number 15: energy relative to the elements -0.0692 eV per atom, total magnetization 0.0 μB per cell. Number 16: energy relative to the elements 0.3833 eV per atom, total magnetization 0.0 μB per cell. Number 17: energy relative to the elements 0.0138 eV per atom, total magnetization 0.0 μB per cell. Number 18: energy relative to the elements 0.0126 eV per atom, total magnetization 0.0 μB per cell. Number 19: energy relative to the elements 0.1210 eV per atom, total magnetization 0.0 μB per cell. Number 20: energy relative to the elements -0.0505 eV per atom, total magnetization 0.0 μB per cell. Number 21: energy relative to the elements 0.0185 eV per atom, total magnetization 0.0 μB per cell.